(1)
# NaDy2Er3Te6, optimized geometry, DFT GGA-PBE
# SG = C2/m, No. 12
# formation energy without anion corrections = -1.271 eV/atom
data_NaDy2Er3Te6
_cell_length_a 4.3329
_cell_length_b 8.7674
_cell_length_c 9.7666
_cell_angle_alpha 103.27
_cell_angle_beta 102.82
_cell_angle_gamma 90.00
_space_group_name_H-M_alt 'P 1'
_space_group_IT_number 1
_space_group_name_Hall 'P 1'
loop_
_atom_site_label
_atom_site_type_symbol
_atom_site_fract_x
_atom_site_fract_y
_atom_site_fract_z
Te1 Te 0.3359 0.4141 0.6718
Te2 Te 0.3310 0.9174 0.6620
Dy1 Dy 0.1707 0.3446 0.3413
Te3 Te 0.6690 0.0826 0.3380
Er1 Er 0.5000 0.5000 0.0000
Er2 Er 0.8354 0.1742 0.6708
Er3 Er 0.1646 0.8258 0.3292
Te4 Te 0.9982 0.7461 0.9964
Na1 Na 0.5000 0.0000 0.0000
Te5 Te 0.6641 0.5859 0.3282
Te6 Te 0.0018 0.2539 0.0036
Dy2 Dy 0.8293 0.6554 0.6587

(2)
# Nd2TmAg, optimized geometry, DFT GGA-PBE
# formation enthalpy at 0 K = -0.09 eV/atom
# SG = P4/mmm, No. 123
data_Nd2TmAg
_cell_length_a 3.6985
_cell_length_b 3.6985
_cell_length_c 8.7351
_cell_angle_alpha 90.00
_cell_angle_beta 90.00
_cell_angle_gamma 90.00
_space_group_name_H-M_alt 'P 1'
_space_group_IT_number 1
_space_group_name_Hall 'P 1'
loop_
_atom_site_label
_atom_site_type_symbol
_atom_site_fract_x
_atom_site_fract_y
_atom_site_fract_z
Tm1 Tm 0.5000 0.5000 0.5000
Nd1 Nd 0.0000 0.0000 0.7789
Nd2 Nd 0.0000 0.0000 0.2211
Ag1 Ag 0.5000 0.5000 0.0000

(3)
# MnCu2Sb, optimized geometry, DFT GGA-PBE
# SG = F-43m, No. 216
# formation energy without anion corrections = 0.193 eV/atom
data_MnCu2Sb
_cell_length_a 4.4148
_cell_length_b 4.4148
_cell_length_c 4.4148
_cell_angle_alpha 60.00
_cell_angle_beta 60.00
_cell_angle_gamma 60.00
_space_group_name_H-M_alt 'P 1'
_space_group_IT_number 1
_space_group_name_Hall 'P 1'
loop_
_atom_site_label
_atom_site_type_symbol
_atom_site_fract_x
_atom_site_fract_y
_atom_site_fract_z
Mn1 Mn 0.5000 0.5000 0.5000
Sb1 Sb 0.7500 0.7500 0.7500
Cu1 Cu 0.2500 0.2500 0.2500
Cu2 Cu 0.0000 0.0000 0.0000

(4)
# ZrGa2Rh4, optimized geometry, DFT GGA-PBE
# formation enthalpy at 0 K = 0.46 eV/atom
# SG = I4/mmm, No. 139
data_ZrGa2Rh4
_cell_length_a 4.7969
_cell_length_b 4.7969
_cell_length_c 7.0667
_cell_angle_alpha 70.16
_cell_angle_beta 70.16
_cell_angle_gamma 90.00
_space_group_name_H-M_alt 'P 1'
_space_group_IT_number 1
_space_group_name_Hall 'P 1'
loop_
_atom_site_label
_atom_site_type_symbol
_atom_site_fract_x
_atom_site_fract_y
_atom_site_fract_z
Ga1 Ga 0.6085 0.6085 0.7829
Rh1 Rh 0.1982 0.1982 0.6037
Rh2 Rh 0.8018 0.8018 0.3963
Rh3 Rh 0.0000 0.5000 0.0000
Rh4 Rh 0.5000 0.0000 0.0000
Zr1 Zr 0.0000 0.0000 0.0000
Ga2 Ga 0.3915 0.3915 0.2171

Number 1: mass density 7.6 g/cm³, E_tot -58.32 eV/f.u.. Number 2: mass density 7.9 g/cm³, E_tot -17.23 eV/f.u.. Number 3: mass density 8.3 g/cm³, E_tot -20.71 eV/f.u.. Number 4: mass density 7.5 g/cm³, E_tot -40.78 eV/f.u..